(1)
DFT (GGA-PBE) results for TePH after structural relaxation.

Computed properties:
crystal system: triclinic
total magnetic moment: 0.00 μB per formula unit
calculated volume: 25.83 A^3/atom
polymorph energy (0 for the lowest one): 0 meV per atom

Geometry as extended XYZ:
```
6
Lattice="4.370 0.000 0.000 0.019 5.481 0.000 1.978 1.020 6.470" Properties=species:S:1:pos:R:3 pbc="T T T"
Te 0.000 0.000 0.000
Te 1.757 1.976 1.098
P 4.238 3.630 1.692
P 5.116 4.585 3.504
H 3.927 5.323 3.819
H 4.727 3.479 4.333
```

=====

(2)
DFT (GGA-PBE) results for PmSm2Sc after structural relaxation.

Computed properties:
crystal system: trigonal
density of states at the Fermi level: 1.520 states/eV/atom
total magnetic moment: 0.00 μB per formula unit
calculated volume: 31.53 A^3/atom
polymorph energy (0 for the lowest one): 15 meV per atom
formation energy from the elements: 0.05 eV per atom

Geometry as extended XYZ:
```
4
Lattice="1.782 1.029 11.459 -1.782 1.029 11.459 0.000 -2.058 11.459" Properties=species:S:1:pos:R:3 pbc="T T T"
Pm 0.000 0.000 0.000
Sm 0.000 0.000 19.927
Sm 0.000 0.000 25.937
Sc 0.000 0.000 5.741
```